(1)
The following is a DFT calculation (PBE) of a relaxed structure of EuPuRh.

CIF file:
```
data_EuPuRh
_symmetry_space_group_name_H-M 'I 4 m m'
_symmetry_Int_Tables_number 107
_symmetry_space_group_name_Hall 'I 4 -2'
_cell_length_a 3.608
_cell_length_b 3.608
_cell_length_c 11.624
_cell_angle_alpha 90.00
_cell_angle_beta 90.00
_cell_angle_gamma 90.00
loop_
_atom_site_label
_atom_site_fract_x
_atom_site_fract_y
_atom_site_fract_z
Eu1 0.000 0.000 0.000
Pu1 0.000 0.000 0.280
Rh1 0.000 0.000 0.676
```

## Properties
* ΔH_f (0 K): -0.2467 eV/atom
* N(E_F): 18.7 states/eV per cell
* total energy: -65.4 eV/cell
* ρ: 10.9 g cm⁻³
* relative energy among the computed polymorphs: 0 meV/atom
* crystal system: tetragonal

(2)
The following is a DFT calculation (PBE) of a relaxed structure of EuPuRh.

CIF file:
```
data_EuPuRh
_symmetry_space_group_name_H-M 'P 3 m 1'
_symmetry_Int_Tables_number 156
_cell_length_a 4.8753
_cell_length_b 4.8753
_cell_length_c 3.2938
_cell_angle_alpha 90.00
_cell_angle_beta 90.00
_cell_angle_gamma 120.00
loop_
_symmetry_equiv_pos_as_xyz
'x,y,z'
'-y,x-y,z'
'-x+y,-x,z'
'-y,-x,z'
'-x+y,y,z'
'x,x-y,z'
loop_
_atom_site_label
_atom_site_fract_x
_atom_site_fract_y
_atom_site_fract_z
Eu1 0.0000 0.0000 0.0000
Pu1 0.3333 0.6667 0.5867
Rh1 0.6667 0.3333 0.3740
```

## Properties
* ΔH_f (0 K): -0.0485 eV/atom
* N(E_F): 8.4 states/eV per cell
* total energy: -32.1 eV/cell
* ρ: 12.2 g cm⁻³
* relative energy among the computed polymorphs: 198 meV/atom
* crystal system: trigonal

(3)
The following is a DFT calculation (PBE) of a relaxed structure of EuPu2Rh.

CIF file:
```
data_EuPu2Rh
_symmetry_space_group_name_H-M 'R -3 m'
_symmetry_Int_Tables_number 166
_symmetry_space_group_name_Hall '-R 3 2"'
_cell_length_a 3.9012
_cell_length_b 3.9012
_cell_length_c 27.5806
_cell_angle_alpha 90.00
_cell_angle_beta 90.00
_cell_angle_gamma 120.00
loop_
_atom_site_label
_atom_site_fract_x
_atom_site_fract_y
_atom_site_fract_z
Eu1 0.0000 0.0000 0.0000
Pu1 0.0000 0.0000 0.2248
Rh1 0.0000 0.0000 0.5000
```

## Properties
* ΔH_f (0 K): -0.0543 eV/atom
* N(E_F): 53.8 states/eV per cell
* total energy: -139.5 eV/cell
* ρ: 10.2 g cm⁻³
* relative energy among the computed polymorphs: 48 meV/atom
* crystal system: trigonal

(4)
The following is a DFT calculation (PBE) of a relaxed structure of EuPuRh2.

CIF file:
```
data_EuPuRh2
_symmetry_space_group_name_H-M 'F m -3 m'
_symmetry_Int_Tables_number 225
_symmetry_space_group_name_Hall '-F 4 2 3'
_cell_length_a 6.921
_cell_length_b 6.921
_cell_length_c 6.921
_cell_angle_alpha 90.00
_cell_angle_beta 90.00
_cell_angle_gamma 90.00
loop_
_atom_site_label
_atom_site_fract_x
_atom_site_fract_y
_atom_site_fract_z
Eu1 0.000 0.000 0.000
Pu1 0.000 0.000 0.500
Rh1 0.250 0.250 0.250
```

## Properties
* ΔH_f (0 K): -0.3623 eV/atom
* N(E_F): 61.8 states/eV per cell
* total energy: -163.0 eV/cell
* ρ: 12.1 g cm⁻³
* relative energy among the computed polymorphs: 44 meV/atom
* crystal system: cubic

(5)
The following is a DFT calculation (PBE) of a relaxed structure of EuPu2Rh.

CIF file:
```
data_EuPu2Rh
_symmetry_space_group_name_H-M 'P 4/m m m'
_symmetry_Int_Tables_number 123
_symmetry_space_group_name_Hall '-P 4 2'
_cell_length_a 3.546
_cell_length_b 3.546
_cell_length_c 8.495
_cell_angle_alpha 90.00
_cell_angle_beta 90.00
_cell_angle_gamma 90.00
loop_
_atom_site_label
_atom_site_fract_x
_atom_site_fract_y
_atom_site_fract_z
Eu1 0.000 0.000 0.000
Pu1 0.500 0.500 0.315
Rh1 0.000 0.000 0.500
```

## Properties
* ΔH_f (0 K): -0.1026 eV/atom
* N(E_F): 15.1 states/eV per cell
* total energy: -46.7 eV/cell
* ρ: 11.5 g cm⁻³
* relative energy among the computed polymorphs: 0 meV/atom
* crystal system: tetragonal

(6)
The following is a DFT calculation (PBE) of a relaxed structure of EuPuTlRh.

CIF file:
```
data_EuPuTlRh
_symmetry_space_group_name_H-M 'F -4 3 m'
_symmetry_Int_Tables_number 216
_symmetry_space_group_name_Hall 'F -4 2 3'
_cell_length_a 7.369
_cell_length_b 7.369
_cell_length_c 7.369
_cell_angle_alpha 90.00
_cell_angle_beta 90.00
_cell_angle_gamma 90.00
loop_
_atom_site_label
_atom_site_fract_x
_atom_site_fract_y
_atom_site_fract_z
Eu1 0.000 0.000 0.000
Pu1 0.000 0.000 0.500
Tl1 0.250 0.250 0.750
Rh1 0.250 0.250 0.250
```

## Properties
* ΔH_f (0 K): -0.1246 eV/atom
* N(E_F): 65.7 states/eV per cell
* total energy: -139.3 eV/cell
* ρ: 11.7 g cm⁻³
* crystal system: cubic

(7)
The following is a DFT calculation (PBE) of a relaxed structure of EuPuZnRh.

CIF file:
```
data_EuPuZnRh
_symmetry_space_group_name_H-M 'F -4 3 m'
_symmetry_Int_Tables_number 216
_symmetry_space_group_name_Hall 'F -4 2 3'
_cell_length_a 7.105
_cell_length_b 7.105
_cell_length_c 7.105
_cell_angle_alpha 90.00
_cell_angle_beta 90.00
_cell_angle_gamma 90.00
loop_
_atom_site_label
_atom_site_fract_x
_atom_site_fract_y
_atom_site_fract_z
Eu1 0.000 0.000 0.000
Pu1 0.000 0.000 0.500
Zn1 0.250 0.250 0.750
Rh1 0.250 0.250 0.250
```

## Properties
* ΔH_f (0 K): -0.2140 eV/atom
* N(E_F): 56.5 states/eV per cell
* total energy: -136.4 eV/cell
* ρ: 10.4 g cm⁻³
* crystal system: cubic

(8)
The following is a DFT calculation (PBE) of a relaxed structure of EuPuRu4.

CIF file:
```
data_EuPuRu4
_symmetry_space_group_name_H-M 'F -4 3 m'
_symmetry_Int_Tables_number 216
_symmetry_space_group_name_Hall 'F -4 2 3'
_cell_length_a 7.573
_cell_length_b 7.573
_cell_length_c 7.573
_cell_angle_alpha 90.00
_cell_angle_beta 90.00
_cell_angle_gamma 90.00
loop_
_atom_site_label
_atom_site_fract_x
_atom_site_fract_y
_atom_site_fract_z
Eu1 0.000 0.000 0.000
Pu1 0.250 0.250 0.250
Ru1 0.125 0.125 0.625
```

## Properties
* ΔH_f (0 K): -0.0284 eV/atom
* N(E_F): 58.0 states/eV per cell
* total energy: -247.5 eV/cell
* ρ: 12.2 g cm⁻³
* crystal system: cubic

(9)
The following is a DFT calculation (PBE) of a relaxed structure of EuPu2Ru.

CIF file:
```
data_EuPu2Ru
_symmetry_space_group_name_H-M 'P 4/m m m'
_symmetry_Int_Tables_number 123
_symmetry_space_group_name_Hall '-P 4 2'
_cell_length_a 3.392
_cell_length_b 3.392
_cell_length_c 9.061
_cell_angle_alpha 90.00
_cell_angle_beta 90.00
_cell_angle_gamma 90.00
loop_
_atom_site_label
_atom_site_fract_x
_atom_site_fract_y
_atom_site_fract_z
Eu1 0.000 0.000 0.000
Pu1 0.500 0.500 0.315
Ru1 0.000 0.000 0.500
```

## Properties
* ΔH_f (0 K): 0.0280 eV/atom
* N(E_F): 12.3 states/eV per cell
* total energy: -48.1 eV/cell
* ρ: 11.8 g cm⁻³
* crystal system: tetragonal

(10)
The following is a DFT calculation (PBE) of a relaxed structure of EuPuZnRu.

CIF file:
```
data_EuPuZnRu
_symmetry_space_group_name_H-M 'F -4 3 m'
_symmetry_Int_Tables_number 216
_symmetry_space_group_name_Hall 'F -4 2 3'
_cell_length_a 7.026
_cell_length_b 7.026
_cell_length_c 7.026
_cell_angle_alpha 90.00
_cell_angle_beta 90.00
_cell_angle_gamma 90.00
loop_
_atom_site_label
_atom_site_fract_x
_atom_site_fract_y
_atom_site_fract_z
Eu1 0.000 0.000 0.000
Pu1 0.000 0.000 0.500
Zn1 0.250 0.250 0.250
Ru1 0.250 0.250 0.750
```

## Properties
* ΔH_f (0 K): 0.0358 eV/atom
* N(E_F): 69.6 states/eV per cell
* total energy: -140.1 eV/cell
* ρ: 10.8 g cm⁻³
* crystal system: cubic

(11)
The following is a DFT calculation (PBE) of a relaxed structure of EuPuSb.

CIF file:
```
data_EuPuSb
_symmetry_space_group_name_H-M 'I 4 m m'
_symmetry_Int_Tables_number 107
_symmetry_space_group_name_Hall 'I 4 -2'
_cell_length_a 4.140
_cell_length_b 4.140
_cell_length_c 10.003
_cell_angle_alpha 90.00
_cell_angle_beta 90.00
_cell_angle_gamma 90.00
loop_
_atom_site_label
_atom_site_fract_x
_atom_site_fract_y
_atom_site_fract_z
Eu1 0.000 0.000 0.000
Pu1 0.000 0.000 0.697
Sb1 0.000 0.000 0.346
```

## Properties
* N(E_F): 19.5 states/eV per cell
* total energy: -59.9 eV/cell
* ρ: 10.0 g cm⁻³
* relative energy among the computed polymorphs: 0 meV/atom
* uncorrected formation energy: -0.41 eV per atom
* crystal system: tetragonal

(12)
The following is a DFT calculation (PBE) of a relaxed structure of EuPuSb.

CIF file:
```
data_EuPuSb
_symmetry_space_group_name_H-M 'P -6 m 2'
_symmetry_Int_Tables_number 187
_symmetry_space_group_name_Hall 'P -6 2'
_cell_length_a 5.2735
_cell_length_b 5.2735
_cell_length_c 3.4417
_cell_angle_alpha 90.00
_cell_angle_beta 90.00
_cell_angle_gamma 120.00
loop_
_atom_site_label
_atom_site_fract_x
_atom_site_fract_y
_atom_site_fract_z
Eu1 0.0000 0.0000 0.0000
Pu1 0.6667 0.3333 0.0000
Sb1 0.3333 0.6667 0.5000
```

## Properties
* N(E_F): 7.6 states/eV per cell
* total energy: -29.4 eV/cell
* ρ: 10.4 g cm⁻³
* relative energy among the computed polymorphs: 186 meV/atom
* uncorrected formation energy: -0.23 eV per atom
* crystal system: hexagonal